1.
A geometry-optimized Rb8HgSb2 structure, computed with PBE.

a = 11.966 Å, b = 11.966 Å, c = 9.145 Å
α = 107.64°, β = 107.64°, γ = 29.10°
Fractional positions:
Rb: 0.036 0.036 0.279
Rb: 0.213 0.213 0.819
Rb: 0.322 0.322 0.544
Rb: 0.394 0.394 0.033
Rb: 0.606 0.606 0.967
Rb: 0.678 0.678 0.456
Rb: 0.787 0.787 0.181
Rb: 0.964 0.964 0.721
Hg: 0.500 0.500 0.500
Sb: 0.181 0.181 0.195
Sb: 0.819 0.819 0.805

Values from the calculation:
ΔE_f (raw) (eV per atom): -0.261
Spin magnetization (μB/atom): 0.116

=====

2.
A geometry-optimized Rb3HgSb2 structure, computed with PBE.

a = 8.857 Å, b = 12.782 Å, c = 11.836 Å
α = 90.00°, β = 110.27°, γ = 90.00°
Fractional positions:
Rb: 0.204 0.012 0.386
Rb: 0.204 0.488 0.886
Rb: 0.247 0.064 0.980
Rb: 0.247 0.436 0.480
Rb: 0.290 0.731 0.184
Rb: 0.290 0.769 0.684
Rb: 0.710 0.231 0.316
Rb: 0.710 0.269 0.816
Rb: 0.753 0.564 0.520
Rb: 0.753 0.936 0.020
Rb: 0.796 0.512 0.114
Rb: 0.796 0.988 0.614
Hg: 0.214 0.176 0.673
Hg: 0.214 0.324 0.173
Hg: 0.786 0.676 0.827
Hg: 0.786 0.824 0.327
Sb: 0.036 0.694 0.373
Sb: 0.036 0.806 0.873
Sb: 0.452 0.035 0.726
Sb: 0.452 0.465 0.226
Sb: 0.548 0.535 0.774
Sb: 0.548 0.965 0.274
Sb: 0.964 0.194 0.127
Sb: 0.964 0.306 0.627

Values from the calculation:
ΔE_f (raw) (eV per atom): -0.302
Spin magnetization (μB/atom): 0.179

=====

3.
A geometry-optimized Rb3Hg2Sb3 structure, computed with PBE.

a = 7.323 Å, b = 7.323 Å, c = 18.469 Å
α = 90.00°, β = 90.00°, γ = 139.93°
Fractional positions:
Rb: 0.029 0.971 0.750
Rb: 0.345 0.655 0.599
Rb: 0.345 0.655 0.901
Rb: 0.655 0.345 0.099
Rb: 0.655 0.345 0.401
Rb: 0.971 0.029 0.250
Hg: 0.375 0.625 0.124
Hg: 0.375 0.625 0.376
Hg: 0.625 0.375 0.624
Hg: 0.625 0.375 0.876
Sb: 0.082 0.918 0.550
Sb: 0.082 0.918 0.950
Sb: 0.253 0.747 0.250
Sb: 0.747 0.253 0.750
Sb: 0.918 0.082 0.050
Sb: 0.918 0.082 0.450

Values from the calculation:
ΔE_f (raw) (eV per atom): -0.312
Spin magnetization (μB/atom): 0.000